(1)
Compound: DyMoN3
Source: the Alexandria database
Functional: PBE-GGA
Structure: optimized geometry

* SG: C2/c, No. 15
* N(E_F): 0.00 states/eV/f.u.
* final energy: -179.8 eV per cell
* crystal system: monoclinic
* formation energy from raw total energies: -0.91 eV/atom

Cell: 7.3488 7.3488 6.2881 Å, 106.65 106.65 81.37°
Closest atoms and distances in Å follow each position.
Atoms (fractional coordinates):
Dy 0.0882 0.9118 0.7500  6 N 2.30-2.45
Dy 0.2926 0.7074 0.2500  6 N 2.34-2.48
Dy 0.7074 0.2926 0.7500  6 N 2.34-2.48
Dy 0.9118 0.0882 0.2500  6 N 2.30-2.45
Mo 0.1998 0.3801 0.7737  4 N 1.78-1.95
Mo 0.3801 0.1998 0.2737  4 N 1.78-1.95
Mo 0.6199 0.8002 0.7263  4 N 1.78-1.95
Mo 0.8002 0.6199 0.2263  4 N 1.78-1.95
N 0.9997 0.2195 0.6542  1 Mo 1.87
N 0.0003 0.7805 0.3458  1 Mo 1.87
N 0.1134 0.6243 0.8390  1 Mo 1.78
N 0.2195 0.9997 0.1542  1 Mo 1.87
N 0.3446 0.3665 0.0700  2 Mo 1.88-1.95
N 0.3665 0.3446 0.5700  2 Mo 1.88-1.95
N 0.3757 0.8866 0.6610  1 Mo 1.78
N 0.6243 0.1134 0.3390  1 Mo 1.78
N 0.6335 0.6554 0.4300  2 Mo 1.88-1.95
N 0.6554 0.6335 0.9300  2 Mo 1.88-1.95
N 0.7805 0.0003 0.8458  1 Mo 1.87
N 0.8866 0.3757 0.1610  1 Mo 1.78

(2)
Compound: TbSm2Tm2
Source: the Alexandria database
Functional: PBE-GGA
Structure: optimized geometry

* ΔE_f: 0.285 eV/atom
* SG: C2/c, No. 15
* N(E_F): 6.79 states/eV/f.u.
* distance to the lowest polymorph of the same formula: 0.279 eV/atom
* final energy: -43.2 eV per cell
* crystal system: monoclinic

Cell: 8.0997 8.0997 6.0036 Å, 102.93 102.93 110.11°
Closest atoms and distances in Å follow each position.
Atoms (fractional coordinates):
Tb 0.0643 0.9357 0.7500  4 Sm 3.29-3.47, 2 Tb 3.45, 4 Tm 3.46-3.55
Tb 0.9357 0.0643 0.2500  4 Sm 3.29-3.47, 2 Tb 3.45, 4 Tm 3.46-3.55
Sm 0.2395 0.3925 0.1287  1 Sm 3.15, 2 Tb 3.29-3.47, 2 Tm 3.33-3.40
Sm 0.3925 0.2395 0.6287  1 Sm 3.15, 2 Tb 3.29-3.47, 2 Tm 3.33-3.40
Sm 0.6075 0.7605 0.3713  1 Sm 3.15, 2 Tb 3.29-3.47, 2 Tm 3.33-3.40
Sm 0.7605 0.6075 0.8713  1 Sm 3.15, 2 Tb 3.29-3.47, 2 Tm 3.33-3.40
Tm 0.1965 0.8035 0.2500  4 Sm 3.33-3.40, 3 Tb 3.46-3.48, 2 Tm 3.50
Tm 0.3316 0.6684 0.7500  2 Tm 3.50, 1 Tb 3.55, 6 Sm 3.55-3.65
Tm 0.6684 0.3316 0.2500  2 Tm 3.50, 1 Tb 3.55, 6 Sm 3.55-3.65
Tm 0.8035 0.1965 0.7500  4 Sm 3.33-3.40, 3 Tb 3.46-3.48, 2 Tm 3.50

(3)
Compound: CuSiTe2
Source: the Alexandria database
Functional: PBE-GGA
Structure: optimized geometry

* SG: Amm2, No. 38
* N(E_F): 1.72 states/eV/f.u.
* final energy: -15.3 eV per cell
* crystal system: orthorhombic
* formation energy from raw total energies: 0.14 eV/atom

Cell: 5.2139 4.2549 4.2549 Å, 81.53 90.00 90.00°
Closest atoms and distances in Å follow each position.
Atoms (fractional coordinates):
Cu 0.0000 0.0000 0.0000  5 Te 2.67-2.83
Si 0.5000 0.2729 0.2729  5 Te 2.67-2.83
Te 0.0000 0.4145 0.4145  3 Cu 2.67-2.83, 2 Si 2.76
Te 0.5000 0.8593 0.8593  3 Si 2.67-2.83, 2 Cu 2.76

(4)
Compound: Sr2LaInSe5
Source: the Alexandria database
Functional: PBE-GGA
Structure: optimized geometry

* SG: Cmc2_1, No. 36
* final energy: -86.0 eV per cell
* crystal system: orthorhombic
* formation energy from raw total energies: -1.61 eV/atom

Cell: 9.7143 9.7143 13.0381 Å, 90.00 90.00 154.47°
Closest atoms and distances in Å follow each position.
Atoms (fractional coordinates):
Sr 0.1137 0.8863 0.5000  8 Se 3.19-3.42
Sr 0.1265 0.8735 0.1354  6 Se 3.21-3.24
Sr 0.8735 0.1265 0.6354  6 Se 3.21-3.24
Sr 0.8863 0.1137 0.0000  8 Se 3.19-3.42
La 0.2120 0.7880 0.8378  6 Se 2.92-3.17
La 0.7880 0.2120 0.3378  6 Se 2.92-3.17
In 0.4509 0.5491 0.2622  4 Se 2.55-2.74
In 0.5491 0.4509 0.7622  4 Se 2.55-2.74
Se 0.0471 0.9529 0.8805  2 In 2.64
Se 0.2897 0.7103 0.4944  2 La 2.96, 2 Sr 3.24
Se 0.3181 0.6819 0.1780  1 In 2.74, 2 La 3.04
Se 0.3655 0.6345 0.8214  1 La 2.92, 4 Sr 3.19-3.24
Se 0.4942 0.5058 0.5838  1 In 2.55
Se 0.5058 0.4942 0.0838  1 In 2.55
Se 0.6345 0.3655 0.3214  1 La 2.92, 4 Sr 3.19-3.24
Se 0.6819 0.3181 0.6780  1 In 2.74, 2 La 3.04
Se 0.7103 0.2897 0.9944  2 La 2.96, 2 Sr 3.24
Se 0.9529 0.0471 0.3805  2 In 2.64

(5)
Compound: SrHg2I
Source: the Alexandria database
Functional: PBE-GGA
Structure: optimized geometry

* SG: Fm-3m, No. 225
* N(E_F): 2.15 states/eV/f.u.
* distance to the lowest polymorph of the same formula: 0.135 eV/atom
* final energy: -5.7 eV per cell
* crystal system: cubic
* formation energy from raw total energies: -0.46 eV/atom

Cell: 5.7798 5.7798 5.7798 Å, 60.00 60.00 60.00°
Closest atoms and distances in Å follow each position.
Atoms (fractional coordinates):
Sr 0.0000 0.0000 0.0000  8 Hg 3.54
Hg 0.2500 0.2500 0.2500  4 I 3.54, 4 Sr 3.54
Hg 0.7500 0.7500 0.7500  4 Sr 3.54, 4 I 3.54
I 0.5000 0.5000 0.5000  8 Hg 3.54

(6)
Compound: SrAlPd2
Source: the Alexandria database
Functional: PBE-GGA
Structure: optimized geometry

* ΔE_f: -0.724 eV/atom
* SG: Pnma, No. 62
* N(E_F): 1.64 states/eV/f.u.
* final energy: -74.8 eV per cell
* crystal system: orthorhombic

Cell: 7.4812 4.3659 10.7381 Å, 90.00 90.00 90.00°
Closest atoms and distances in Å follow each position.
Atoms (fractional coordinates):
Sr 0.1452 0.2500 0.1329  9 Pd 3.21-3.53, 3 Al 3.57-3.59
Sr 0.3548 0.7500 0.6329  9 Pd 3.21-3.53, 3 Al 3.57-3.59
Sr 0.6452 0.2500 0.3671  9 Pd 3.21-3.53, 3 Al 3.57-3.59
Sr 0.8548 0.7500 0.8671  9 Pd 3.21-3.53, 3 Al 3.57-3.59
Al 0.0237 0.7500 0.3937  5 Pd 2.49-2.57
Al 0.4763 0.2500 0.8937  5 Pd 2.49-2.57
Al 0.5237 0.7500 0.1063  5 Pd 2.49-2.57
Al 0.9763 0.2500 0.6063  5 Pd 2.49-2.57
Pd 0.1568 0.2500 0.8046  2 Al 2.52-2.57, 2 Pd 2.80
Pd 0.1952 0.2500 0.4318  3 Al 2.49-2.56
Pd 0.3048 0.7500 0.9318  3 Al 2.49-2.56
Pd 0.3432 0.7500 0.3046  2 Al 2.52-2.57, 2 Pd 2.80
Pd 0.6568 0.2500 0.6954  2 Al 2.52-2.57, 2 Pd 2.80
Pd 0.6952 0.2500 0.0682  3 Al 2.49-2.56
Pd 0.8048 0.7500 0.5682  3 Al 2.49-2.56
Pd 0.8432 0.7500 0.1954  2 Al 2.52-2.57, 2 Pd 2.80

(7)
Compound: LiNd8Sb6
Source: the Alexandria database
Functional: PBE-GGA
Structure: optimized geometry

* SG: R-3, No. 148
* N(E_F): 11.18 states/eV/f.u.
* final energy: -77.7 eV per cell
* crystal system: trigonal
* formation energy from raw total energies: -0.86 eV/atom

Cell: 8.4082 8.4082 8.4082 Å, 67.92 67.92 67.92°
Closest atoms and distances in Å follow each position.
Atoms (fractional coordinates):
Li 0.0000 0.0000 0.0000  6 Nd 3.28
Nd 0.0980 0.7987 0.3828  5 Sb 3.14-3.32, 1 Li 3.28
Nd 0.2013 0.6172 0.9020  5 Sb 3.14-3.32, 1 Li 3.28
Nd 0.3313 0.3313 0.3313  6 Sb 3.29-3.36
Nd 0.3828 0.0980 0.7987  5 Sb 3.14-3.32, 1 Li 3.28
Nd 0.6172 0.9020 0.2013  5 Sb 3.14-3.32, 1 Li 3.28
Nd 0.6687 0.6687 0.6687  6 Sb 3.29-3.36
Nd 0.7987 0.3828 0.0980  5 Sb 3.14-3.32, 1 Li 3.28
Nd 0.9020 0.2013 0.6172  5 Sb 3.14-3.32, 1 Li 3.28
Sb 0.0722 0.4417 0.7117  7 Nd 3.14-3.36
Sb 0.2883 0.9278 0.5583  7 Nd 3.14-3.36
Sb 0.4417 0.7117 0.0722  7 Nd 3.14-3.36
Sb 0.5583 0.2883 0.9278  7 Nd 3.14-3.36
Sb 0.7117 0.0722 0.4417  7 Nd 3.14-3.36
Sb 0.9278 0.5583 0.2883  7 Nd 3.14-3.36

(8)
Compound: La2BeNi2
Source: the Alexandria database
Functional: PBE-GGA
Structure: optimized geometry

* ΔE_f: 0.283 eV/atom
* SG: P4/mbm, No. 127
* N(E_F): 4.31 states/eV/f.u.
* distance to the lowest polymorph of the same formula: 0.398 eV/atom
* final energy: -47.5 eV per cell
* crystal system: tetragonal

Cell: 7.9937 7.9937 3.5431 Å, 90.00 90.00 90.00°
Closest atoms and distances in Å follow each position.
Atoms (fractional coordinates):
La 0.1762 0.3238 0.0000  2 Be 2.95, 6 Ni 2.95-2.98
La 0.3238 0.8238 0.0000  2 Be 2.95, 6 Ni 2.95-2.98
La 0.6762 0.1762 0.0000  2 Be 2.95, 6 Ni 2.95-2.98
La 0.8238 0.6762 0.0000  2 Be 2.95, 6 Ni 2.95-2.98
Be 0.0000 0.0000 0.0000  4 La 2.95
Be 0.5000 0.5000 0.0000  4 La 2.95
Ni 0.1118 0.6118 0.5000  1 Ni 2.53
Ni 0.3882 0.1118 0.5000  1 Ni 2.53
Ni 0.6118 0.8882 0.5000  1 Ni 2.53
Ni 0.8882 0.3882 0.5000  1 Ni 2.53

(9)
Compound: AcAs4I
Source: the Alexandria database
Functional: PBE-GGA
Structure: optimized geometry

* SG: F-43m, No. 216
* N(E_F): 6.18 states/eV/f.u.
* final energy: -26.1 eV per cell
* crystal system: cubic
* formation energy from raw total energies: -0.31 eV/atom

Cell: 5.9772 5.9772 5.9772 Å, 60.00 60.00 60.00°
Closest atoms and distances in Å follow each position.
Atoms (fractional coordinates):
Ac 0.0000 0.0000 0.0000  12 As 3.54, 4 I 3.66
As 0.1643 0.6119 0.6119  3 As 2.68
As 0.6119 0.1643 0.6119  3 As 2.68
As 0.6119 0.6119 0.1643  3 As 2.68
As 0.6119 0.6119 0.6119  3 As 2.68
I 0.2500 0.2500 0.2500  12 As 3.48, 4 Ac 3.66

(10)
Compound: DyTl2Bi
Source: the Alexandria database
Functional: PBE-GGA
Structure: optimized geometry

* ΔE_f: 0.104 eV/atom
* SG: R-3m, No. 166
* N(E_F): 3.08 states/eV/f.u.
* final energy: -12.8 eV per cell
* crystal system: trigonal

Cell: 12.2415 12.2415 12.2415 Å, 16.55 16.55 16.55°
Closest atoms and distances in Å follow each position.
Atoms (fractional coordinates):
Dy 0.0000 0.0000 0.0000  2 Tl 3.18, 6 Dy 3.52
Tl 0.0878 0.0878 0.0878  1 Dy 3.18, 3 Bi 3.51, 6 Tl 3.52
Tl 0.9122 0.9122 0.9122  1 Dy 3.18, 3 Bi 3.51, 6 Tl 3.52
Bi 0.5000 0.5000 0.5000  6 Tl 3.51, 6 Bi 3.52

(11)
Compound: Rb2HfReHg
Source: the Alexandria database
Functional: PBE-GGA
Structure: optimized geometry

* ΔE_f: 2.183 eV/atom
* SG: P4/mmm, No. 123
* N(E_F): 8.04 states/eV/f.u.
* final energy: -13.7 eV per cell
* crystal system: tetragonal

Cell: 6.9414 6.9414 5.3845 Å, 90.00 90.00 90.00°
Closest atoms and distances in Å follow each position.
Atoms (fractional coordinates):
Rb 0.0000 0.5000 0.0000  2 Hf 3.47
Rb 0.5000 0.0000 0.0000  2 Hf 3.47
Hf 0.0000 0.0000 0.0000  2 Hg 2.69
Re 0.5000 0.5000 0.5000  8 Rb 4.39, 4 Hg 4.91
Hg 0.0000 0.0000 0.5000  2 Hf 2.69